# NiSbIr2

Crystalline NiSbIr2 at its relaxed geometry (GGA-PBE, Alexandria via LeMat-Bulk).

Output
The value obtained for the formation energy from raw total energies is 271 meV per atom. As for the space-group type: Imm2 (44). The calculation puts the calculated volume at 15.3 Å³/atom.

Cell lengths 5.3019, 5.3019, 5.3019 Å; angles 147.25, 130.08, 60.99 degrees
Positions (direct):
Ni  0.0000  0.0000  0.0000
Sb  0.2275  0.7275  0.5000
Ir  0.4762  0.4762  0.0000
Ir  0.7605  0.2605  0.5000

***

# NiSb2Ir

Crystalline NiSb2Ir at its relaxed geometry (GGA-PBE, Alexandria via LeMat-Bulk).

Output
The value obtained for the formation energy from raw total energies is 109 meV per atom. As for the space-group type: R-3m (166). The calculation puts the calculated volume at 18.3 Å³/atom.

Cell lengths 7.8791, 7.8791, 7.8791 Å; angles 24.38, 24.38, 24.38 degrees
Positions (direct):
Ni  0.0000  0.0000  0.0000
Sb  0.2535  0.2535  0.2535
Sb  0.7465  0.7465  0.7465
Ir  0.5000  0.5000  0.5000

***

| no. | magnetization (μB per formula unit) |
| --- | --- |
| 1 | 0.00 |
| 2 | 0.00 |